1.
DFT (PBE) results for a geometry-optimized NiTe4Pt2 structure.

a b c (Å): 6.8027 6.8027 7.0765
angles (deg): 121.33 121.33 35.65
Last column: nearest neighbours and their distance in Å.
Atoms (fractional coordinates):
Ni 0.0000 0.0000 0.0000  6 Te 2.70-2.74, 2 Pt 2.78
Te 0.1174 0.1174 0.7805  1 Ni 2.70, 3 Pt 2.72-2.76
Te 0.3745 0.3745 0.7125  2 Ni 2.74, 3 Pt 2.77-2.80
Te 0.6255 0.6255 0.2875  2 Ni 2.74, 3 Pt 2.77-2.80
Te 0.8826 0.8826 0.2195  1 Ni 2.70, 3 Pt 2.72-2.76
Pt 0.2561 0.2561 0.2467  6 Te 2.72-2.80, 1 Ni 2.78
Pt 0.7439 0.7439 0.7533  6 Te 2.72-2.80, 1 Ni 2.78

Values from the calculation:
SG = No. 12

2.
DFT (PBE) results for a geometry-optimized NiTe2Pt structure.

a b c (Å): 3.5061 3.5061 7.2241
angles (deg): 90.00 90.00 90.00
Last column: nearest neighbours and their distance in Å.
Atoms (fractional coordinates):
Ni 0.0000 0.0000 0.0000  5 Te 2.61-2.76, 4 Pt 2.86
Te 0.0000 0.0000 0.3620  1 Ni 2.61, 4 Pt 2.75
Te 0.5000 0.5000 0.8328  1 Pt 2.64, 4 Ni 2.76
Pt 0.5000 0.5000 0.1976  5 Te 2.64-2.75, 4 Ni 2.86

Values from the calculation:
SG = No. 99

Formation energy without anion corrections list, top to bottom, in meV per atom: -274; -108